Entry 1:
Cd5Ag4Rh: relaxed, PBE. Values from VASP.

Cell and atoms, written as Quantum ESPRESSO input:
```
&SYSTEM
  ibrav = 0, nat = 10, ntyp = 3
/
ATOMIC_SPECIES
Cd 112.41 Cd.upf
Ag 107.87 Ag.upf
Rh 102.91 Rh.upf
ATOMIC_POSITIONS crystal
Cd 0.000 0.000 0.000
Cd 0.000 0.000 0.206
Cd 0.000 0.000 0.411
Cd 0.000 0.000 0.589
Cd 0.000 0.000 0.794
Ag 0.500 0.500 0.103
Ag 0.500 0.500 0.308
Ag 0.500 0.500 0.692
Ag 0.500 0.500 0.897
Rh 0.500 0.500 0.500
CELL_PARAMETERS angstrom
3.212 0.000 0.000
0.000 3.212 0.000
0.000 0.000 18.277
```

Calculated values
As for the crystal system: tetragonal. As for the density: 9.65 g/cm³. The value obtained for the calculated formation energy is -0.063 eV per atom. The calculation puts the total magnetization at 0.000 μB/atom. The energy above the most stable polymorph in this dataset is 0.000 eV per atom.



Entry 2:
TaHgTe2: relaxed, PBE. Values from VASP.

Cell and atoms, written as Quantum ESPRESSO input:
```
&SYSTEM
  ibrav = 0, nat = 4, ntyp = 3
/
ATOMIC_SPECIES
Ta 180.95 Ta.upf
Hg 200.59 Hg.upf
Te 127.60 Te.upf
ATOMIC_POSITIONS crystal
Ta 0.000 0.000 0.000
Hg 0.335 0.330 0.500
Te 0.663 0.668 0.183
Te 0.670 0.665 0.817
CELL_PARAMETERS angstrom
3.683 0.000 0.000
1.841 3.190 0.000
0.064 -0.023 10.085
```

Calculated values
As for the crystal system: triclinic. As for the density: 8.92 g/cm³. The total energy comes out at -4.85 eV per atom. The calculation puts the total magnetization at 0.109 μB/atom.